No. 1
Sb2Pd4Pb (PBE-GGA, optimized geometry); Fermi-level density of states = 0.5838 states/eV/atom; mass density = 10.01 g/cm³; uncorrected formation energy = -0.201 eV per atom; magnetization = 0.000 μB per atom
1.0
-1.3818 2.2748 -6.0777
-5.3028 -3.7179 1.4387
0.3046 6.1357 5.0422
Sb Pd Pb
4 8 2
direct
0.6244 0.3754 0.7494 Sb
0.6259 0.8749 0.2507 Sb
0.6250 0.3739 0.2495 Sb
0.1244 0.3755 0.7504 Sb
0.0088 0.2687 0.3619 Pd
0.2424 0.4814 0.1387 Pd
0.9076 0.6467 0.6380 Pd
0.7290 0.9911 0.6384 Pd
0.3528 0.0899 0.3616 Pd
0.3419 0.1039 0.8610 Pd
0.5206 0.7599 0.8626 Pd
0.8971 0.6589 0.1378 Pd
0.2489 0.7488 0.5000 Pb
0.0011 0.0009 0.0000 Pb

***

No. 2
DyYMn17 (PBE-GGA, optimized geometry); Fermi-level density of states = 0.9696 states/eV/atom; mass density = 7.84 g/cm³; magnetization = 0.219 μB per atom; formation enthalpy at 0 K = 0.1 kJ per mole of atoms
1.0
6.2948 -0.1492 0.5758
0.5118 6.2758 0.5758
-0.1657 -0.1492 6.3189
Dy Y Mn
1 1 17
direct
0.3549 0.3549 0.3549 Dy
0.6448 0.6448 0.6448 Y
0.2752 0.0000 0.7248 Mn
0.7248 0.2752 0.0000 Mn
0.0000 0.7248 0.2752 Mn
0.2752 0.7248 0.0000 Mn
0.0000 0.2752 0.7248 Mn
0.7248 0.0000 0.2752 Mn
0.3551 0.8769 0.3551 Mn
0.3551 0.3551 0.8769 Mn
0.8769 0.3551 0.3551 Mn
0.6446 0.1238 0.6446 Mn
0.6446 0.6446 0.1238 Mn
0.1238 0.6446 0.6446 Mn
0.0000 0.5000 0.0000 Mn
0.0000 0.0000 0.5000 Mn
0.5000 0.0000 0.0000 Mn
0.9006 0.9006 0.9006 Mn
0.0997 0.0997 0.0997 Mn

***

No. 3
Sm4TlHg2 (PBE-GGA, optimized geometry); Fermi-level density of states = 1.1850 states/eV/atom; polymorph energy (0 for the lowest one) = 0.0 meV/atom; mass density = 9.35 g/cm³; magnetization = 0.096 μB per atom; formation enthalpy at 0 K = -29.2 kJ per mole of atoms
1.0
-3.6046 0.4545 5.4269
0.9191 -6.3008 -1.4511
5.7568 2.9206 0.9899
Sm Tl Hg
4 1 2
direct
0.5000 0.0000 0.0000 Sm
0.5000 0.5000 0.5000 Sm
0.0000 0.0000 0.5000 Sm
0.0000 0.5000 0.0000 Sm
0.0000 0.0000 0.0000 Tl
0.5000 0.5000 0.0000 Hg
0.5000 0.0000 0.5000 Hg

***

No. 4
BRh3Pb (PBE-GGA, optimized geometry); Fermi-level density of states = 0.6463 states/eV/atom; polymorph energy (0 for the lowest one) = 63.8 meV/atom; mass density = 11.69 g/cm³; magnetization = 0.000 μB per atom; formation enthalpy at 0 K = -15.4 kJ per mole of atoms
1.0
4.2574 -0.0004 0.0000
0.0000 5.8077 0.0119
0.0000 -3.2882 6.0439
Pb B Rh
2 2 6
direct
0.8028 0.7666 0.6118 Pb
0.8028 0.0066 0.1551 Pb
0.3027 0.4945 0.1210 B
0.3027 0.2785 0.6455 B
0.3028 0.3890 0.3854 Rh
0.3029 0.1233 0.8615 Rh
0.3029 0.6501 0.9047 Rh
0.8028 0.4851 0.1410 Rh
0.8028 0.2856 0.6254 Rh
0.3028 0.8868 0.3823 Rh